## SnSbPb3 (GGA-PBEsol)

Data for a geometry-optimized SnSbPb3 structure.

a = 5.7348 Å, b = 5.7348 Å, c = 5.7348 Å
α = 90.00°, β = 90.00°, γ = 90.00°
With the nearest neighbours (Å) after each atom.
Element x y z (fractional)
1 Pb 0.0000 0.5000 0.0000  2 Sb 2.87
2 Pb 0.0000 0.0000 0.5000  2 Sb 2.87
3 Pb 0.5000 0.0000 0.0000  2 Sb 2.87
4 Sb 0.0000 0.0000 0.0000  6 Pb 2.87
5 Sn 0.5000 0.5000 0.5000  12 Pb 4.06

The value obtained for the total DFT energy (no corrections) is -3.515 eV/atom. The calculation puts the uncorrected formation energy at 647 meV/atom.